(1)
ZnCo3C (PBE, optimized geometry); space-group type = No. 221; calculated total energy = -6.377 eV per atom
1.0
3.7322 0.0000 0.0000
0.0000 3.7322 0.0000
0.0000 0.0000 3.7322
C Co Zn
1 3 1
direct
0.5000 0.5000 0.5000
0.5000 0.5000 0.0000
0.5000 0.0000 0.5000
0.0000 0.5000 0.5000
0.0000 0.0000 0.0000

---

(2)
Zr4ZnCoC2 (PBE, optimized geometry); space-group type = No. 187; calculated total energy = -8.036 eV per atom
1.0
3.3037 0.0000 0.0000
-1.6518 2.8611 0.0000
0.0000 0.0000 13.7770
C Co Zn Zr
2 1 1 4
direct
0.3333 0.6667 0.2402
0.3333 0.6667 0.7598
0.0000 0.0000 0.0000
0.6667 0.3333 0.5000
0.6667 0.3333 0.1410
0.0000 0.0000 0.3312
0.0000 0.0000 0.6688
0.6667 0.3333 0.8590

---

(3)
Zr3CoC (PBE, optimized geometry); space-group type = No. 63; calculated total energy = -8.866 eV per atom
1.0
-2.9746 3.2452 -3.8987
2.0149 -0.4955 5.5022
7.5531 4.0372 -2.4024
C Co Zr
2 2 6
direct
0.0000 0.0000 0.0000
0.0000 0.0000 0.5000
0.2508 0.7492 0.2500
0.7492 0.2508 0.7500
0.6331 0.3669 0.0652
0.9304 0.0696 0.2500
0.6331 0.3669 0.4348
0.3669 0.6331 0.5652
0.0696 0.9304 0.7500
0.3669 0.6331 0.9348

---

(4)
ZrCoC2 (PBE, optimized geometry); space-group type = No. 123; calculated total energy = -8.123 eV per atom
1.0
3.1696 0.0000 0.0000
0.0000 3.1696 0.0000
0.0000 0.0000 4.3746
C Co Zr
2 1 1
direct
0.0000 0.0000 0.0000
0.5000 0.5000 0.5000
0.0000 0.0000 0.5000
0.5000 0.5000 0.0000

---

(5)
ZrCoC2 (PBE, optimized geometry); space-group type = No. 194; calculated total energy = -8.714 eV per atom
1.0
-0.1934 0.5188 -3.2711
2.8214 -1.1208 1.3378
-2.7222 -8.2155 -1.1420
C Co Zr
4 2 2
direct
0.6667 0.3333 0.1660
0.6667 0.3333 0.3340
0.3333 0.6667 0.6660
0.3333 0.6667 0.8340
0.3333 0.6667 0.2500
0.6667 0.3333 0.7500
0.0000 0.0000 0.0000
0.0000 0.0000 0.5000

---

(6)
Zr4CoC3 (PBE, optimized geometry); space-group type = No. 194; calculated total energy = -9.215 eV per atom
1.0
-2.8825 -0.4566 1.6043
2.8809 -0.6805 1.5259
0.9808 22.3973 8.1364
C Co Zr
6 2 8
direct
0.0000 0.0000 0.0000
0.6667 0.3333 0.1165
0.6667 0.3333 0.3835
0.0000 0.0000 0.5000
0.3333 0.6667 0.6165
0.3333 0.6667 0.8835
0.3333 0.6667 0.2500
0.6667 0.3333 0.7500
0.3333 0.6667 0.0556
0.0000 0.0000 0.1683
0.0000 0.0000 0.3317
0.3333 0.6667 0.4444
0.6667 0.3333 0.5556
0.0000 0.0000 0.6683
0.0000 0.0000 0.8317
0.6667 0.3333 0.9444

---

We obtain M_tot values of 1.1 0.2 0.0 0.8 0.1 0.6 μB/f.u. for the records listed above, in that order.